# 1
! NaTaBe (PBE, relaxed); values from VASP
&SYSTEM
  ibrav = 0, nat = 6, ntyp = 3
/
ATOMIC_SPECIES
Na 22.99 Na.upf
Ta 180.95 Ta.upf
Be 9.01 Be.upf
CELL_PARAMETERS angstrom
4.744 0.000 0.000
0.000 4.816 0.000
-2.217 0.000 4.479
ATOMIC_POSITIONS crystal
Na 0.142 0.000 0.307
Na 0.858 0.000 0.693
Ta 0.399 0.500 0.726
Ta 0.601 0.500 0.274
Be 0.000 0.500 0.000
Be 0.500 0.000 0.000
! DFT total energy, eV/atom: -4.90
! M_tot, μB per formula unit: 0.000
! Space group: P2/m (10)
! E_form, eV per atom: 0.737

---

# 2
! NaTaBe (PBE, relaxed); values from VASP
&SYSTEM
  ibrav = 0, nat = 6, ntyp = 3
/
ATOMIC_SPECIES
Na 22.99 Na.upf
Ta 180.95 Ta.upf
Be 9.01 Be.upf
CELL_PARAMETERS angstrom
3.739 0.000 0.000
-1.869 3.238 0.000
0.000 0.000 10.083
ATOMIC_POSITIONS crystal
Na 0.333 0.667 0.250
Na 0.667 0.333 0.750
Ta 0.000 0.000 0.000
Ta 0.000 0.000 0.500
Be 0.000 0.000 0.250
Be 0.000 0.000 0.750
! DFT total energy, eV/atom: -3.52
! M_tot, μB per formula unit: 0.000
! Space group: P6_3/mmc (194)
! E_form, eV per atom: 2.114

---

# 3
! NaTaBe (PBE, relaxed); values from VASP
&SYSTEM
  ibrav = 0, nat = 6, ntyp = 3
/
ATOMIC_SPECIES
Na 22.99 Na.upf
Ta 180.95 Ta.upf
Be 9.01 Be.upf
CELL_PARAMETERS angstrom
2.964 0.000 0.000
0.000 3.564 0.000
1.431 0.056 11.353
ATOMIC_POSITIONS crystal
Na 0.000 0.000 0.000
Na 0.165 0.496 0.711
Ta 0.300 0.497 0.431
Ta 0.873 0.999 0.279
Be 0.418 0.501 0.186
Be 0.755 0.996 0.524
! DFT total energy, eV/atom: -5.34
! M_tot, μB per formula unit: 0.000
! Space group: P1 (1)
! E_form, eV per atom: 0.293

---

# 4
! Na3TaBe (PBE, relaxed); values from VASP
&SYSTEM
  ibrav = 0, nat = 5, ntyp = 3
/
ATOMIC_SPECIES
Na 22.99 Na.upf
Ta 180.95 Ta.upf
Be 9.01 Be.upf
CELL_PARAMETERS angstrom
5.963 0.000 0.000
0.000 5.963 0.000
0.000 0.000 5.963
ATOMIC_POSITIONS crystal
Na 0.000 0.000 0.500
Na 0.000 0.500 0.000
Na 0.500 0.000 0.000
Ta 0.000 0.000 0.000
Be 0.500 0.500 0.500
! DFT total energy, eV/atom: -1.93
! M_tot, μB per formula unit: 5.340
! Space group: Pm-3m (221)
! E_form, eV per atom: 1.982

---

# 5
! NaTaBe (PBE, relaxed); values from VASP
&SYSTEM
  ibrav = 0, nat = 3, ntyp = 3
/
ATOMIC_SPECIES
Na 22.99 Na.upf
Ta 180.95 Ta.upf
Be 9.01 Be.upf
CELL_PARAMETERS angstrom
4.768 0.000 0.000
-2.384 4.129 0.000
0.000 0.000 2.652
ATOMIC_POSITIONS crystal
Na 0.000 0.000 0.000
Ta 0.667 0.333 0.500
Be 0.333 0.667 0.500
! DFT total energy, eV/atom: -4.48
! M_tot, μB per formula unit: 0.000
! Space group: P-6m2 (187)
! E_form, eV per atom: 1.149

---

# 6
! NaTaBe (PBE, relaxed); values from VASP
&SYSTEM
  ibrav = 0, nat = 3, ntyp = 3
/
ATOMIC_SPECIES
Na 22.99 Na.upf
Ta 180.95 Ta.upf
Be 9.01 Be.upf
CELL_PARAMETERS angstrom
0.000 2.996 2.996
2.996 0.000 2.996
2.996 2.996 0.000
ATOMIC_POSITIONS crystal
Na 0.000 0.000 0.000
Ta 0.500 0.500 0.500
Be 0.250 0.250 0.250
! DFT total energy, eV/atom: -4.26
! M_tot, μB per formula unit: 0.000
! Space group: F-43m (216)
! E_form, eV per atom: 1.377

---

# 7
! NaTaBe (PBE, relaxed); values from VASP
&SYSTEM
  ibrav = 0, nat = 6, ntyp = 3
/
ATOMIC_SPECIES
Na 22.99 Na.upf
Ta 180.95 Ta.upf
Be 9.01 Be.upf
CELL_PARAMETERS angstrom
2.896 0.000 0.000
0.000 3.583 0.000
-1.446 0.000 11.238
ATOMIC_POSITIONS crystal
Na 0.000 0.000 0.000
Na 0.358 0.500 0.721
Ta 0.615 0.500 0.228
Ta 0.747 0.000 0.493
Be 0.157 0.000 0.312
Be 0.205 0.500 0.409
! DFT total energy, eV/atom: -5.27
! M_tot, μB per formula unit: 0.000
! Space group: Pm (6)
! E_form, eV per atom: 0.367

---

# 8
! NaTaBe (PBE, relaxed); values from VASP
&SYSTEM
  ibrav = 0, nat = 6, ntyp = 3
/
ATOMIC_SPECIES
Na 22.99 Na.upf
Ta 180.95 Ta.upf
Be 9.01 Be.upf
CELL_PARAMETERS angstrom
2.019 1.166 9.383
-2.019 1.166 9.383
0.000 -2.332 9.383
ATOMIC_POSITIONS crystal
Na 0.000 0.000 0.000
Na 0.236 0.236 0.236
Ta 0.476 0.476 0.476
Ta 0.753 0.753 0.753
Be 0.115 0.115 0.115
Be 0.839 0.839 0.839
! DFT total energy, eV/atom: -5.11
! M_tot, μB per formula unit: 0.000
! Space group: R3m (160)
! E_form, eV per atom: 0.526

---

# 9
! NaTaBe (PBE, relaxed); values from VASP
&SYSTEM
  ibrav = 0, nat = 6, ntyp = 3
/
ATOMIC_SPECIES
Na 22.99 Na.upf
Ta 180.95 Ta.upf
Be 9.01 Be.upf
CELL_PARAMETERS angstrom
2.848 0.000 0.000
1.417 4.838 0.000
1.393 1.978 7.894
ATOMIC_POSITIONS crystal
Na 0.000 0.000 0.000
Na 0.327 0.573 0.789
Ta 0.356 0.907 0.387
Ta 0.673 0.411 0.249
Be 0.033 0.437 0.505
Be 0.661 0.096 0.594
! DFT total energy, eV/atom: -5.18
! M_tot, μB per formula unit: 0.000
! Space group: P1 (1)
! E_form, eV per atom: 0.453

---

# 10
! NaTaBe (PBE, relaxed); values from VASP
&SYSTEM
  ibrav = 0, nat = 6, ntyp = 3
/
ATOMIC_SPECIES
Na 22.99 Na.upf
Ta 180.95 Ta.upf
Be 9.01 Be.upf
CELL_PARAMETERS angstrom
4.362 0.000 0.000
0.000 4.362 0.000
0.000 0.000 6.721
ATOMIC_POSITIONS crystal
Na 0.250 0.250 0.150
Na 0.750 0.750 0.850
Ta 0.250 0.250 0.612
Ta 0.750 0.750 0.388
Be 0.250 0.750 0.500
Be 0.750 0.250 0.500
! DFT total energy, eV/atom: -4.70
! M_tot, μB per formula unit: 0.000
! Space group: P4/nmm (129)
! E_form, eV per atom: 0.930

---

# 11
! Na3TaBe (PBE, relaxed); values from VASP
&SYSTEM
  ibrav = 0, nat = 5, ntyp = 3
/
ATOMIC_SPECIES
Na 22.99 Na.upf
Ta 180.95 Ta.upf
Be 9.01 Be.upf
CELL_PARAMETERS angstrom
5.034 0.000 0.000
0.000 5.034 0.000
0.000 0.000 5.034
ATOMIC_POSITIONS crystal
Na 0.000 0.000 0.500
Na 0.000 0.500 0.000
Na 0.500 0.000 0.000
Ta 0.500 0.500 0.500
Be 0.000 0.000 0.000
! DFT total energy, eV/atom: -2.18
! M_tot, μB per formula unit: 0.000
! Space group: Pm-3m (221)
! E_form, eV per atom: 1.724

---

# 12
! NaTa2BeV (PBE, relaxed); values from VASP
&SYSTEM
  ibrav = 0, nat = 5, ntyp = 4
/
ATOMIC_SPECIES
Na 22.99 Na.upf
Ta 180.95 Ta.upf
Be 9.01 Be.upf
V 50.94 V.upf
CELL_PARAMETERS angstrom
4.596 0.000 0.000
0.000 4.596 0.000
0.000 0.000 5.065
ATOMIC_POSITIONS crystal
Na 0.000 0.000 0.000
Ta 0.000 0.500 0.500
Ta 0.500 0.000 0.500
Be 0.500 0.500 0.000
V 0.000 0.000 0.500
! DFT total energy, eV/atom: -5.90
! M_tot, μB per formula unit: 0.000
! Space group: P4/mmm (123)
! E_form, eV per atom: 1.679

---

# 13
! Na2TaBeW (PBE, relaxed); values from VASP
&SYSTEM
  ibrav = 0, nat = 5, ntyp = 4
/
ATOMIC_SPECIES
Na 22.99 Na.upf
Ta 180.95 Ta.upf
Be 9.01 Be.upf
W 183.84 W.upf
CELL_PARAMETERS angstrom
5.133 0.000 0.000
0.000 5.133 0.000
0.000 0.000 4.333
ATOMIC_POSITIONS crystal
Na 0.000 0.500 0.000
Na 0.500 0.000 0.000
Ta 0.000 0.000 0.000
Be 0.000 0.000 0.500
W 0.500 0.500 0.500
! DFT total energy, eV/atom: -3.40
! M_tot, μB per formula unit: 0.585
! Space group: P4/mmm (123)
! E_form, eV per atom: 2.836

---

# 14
! NaBe3Tc (PBE, relaxed); values from VASP
&SYSTEM
  ibrav = 0, nat = 5, ntyp = 3
/
ATOMIC_SPECIES
Na 22.99 Na.upf
Be 9.01 Be.upf
Tc 98.00 Tc.upf
CELL_PARAMETERS angstrom
4.350 0.000 0.000
0.000 4.350 0.000
0.000 0.000 4.350
ATOMIC_POSITIONS crystal
Na 0.000 0.000 0.000
Be 0.000 0.500 0.500
Be 0.500 0.000 0.500
Be 0.500 0.500 0.000
Tc 0.500 0.500 0.500
! DFT total energy, eV/atom: -3.78
! M_tot, μB per formula unit: 0.000
! Space group: Pm-3m (221)
! E_form, eV per atom: 0.789

---

# 15
! Na2BeTc (PBE, relaxed); values from VASP
&SYSTEM
  ibrav = 0, nat = 8, ntyp = 3
/
ATOMIC_SPECIES
Na 22.99 Na.upf
Be 9.01 Be.upf
Tc 98.00 Tc.upf
CELL_PARAMETERS angstrom
-4.818 4.818 2.201
4.818 -4.818 2.201
4.818 4.818 -2.201
ATOMIC_POSITIONS crystal
Na 0.375 0.001 0.126
Na 0.751 0.625 0.626
Na 0.875 0.249 0.874
Na 0.999 0.125 0.374
Be 0.000 0.000 0.000
Be 0.750 0.250 0.500
Tc 0.250 0.750 0.500
Tc 0.500 0.500 0.000
! DFT total energy, eV/atom: -3.01
! M_tot, μB per formula unit: 2.686
! Space group: I-42d (122)
! E_form, eV per atom: 1.173

---

# 16
! Na2BeTc2 (PBE, relaxed); values from VASP
&SYSTEM
  ibrav = 0, nat = 5, ntyp = 3
/
ATOMIC_SPECIES
Na 22.99 Na.upf
Be 9.01 Be.upf
Tc 98.00 Tc.upf
CELL_PARAMETERS angstrom
-1.671 1.671 7.491
1.671 -1.671 7.491
1.671 1.671 -7.491
ATOMIC_POSITIONS crystal
Na 0.250 0.750 0.500
Na 0.750 0.250 0.500
Be 0.000 0.000 0.000
Tc 0.427 0.427 0.000
Tc 0.573 0.573 0.000
! DFT total energy, eV/atom: -4.38
! M_tot, μB per formula unit: 0.000
! Space group: I4/mmm (139)
! E_form, eV per atom: 1.043

---

# 17
! NaBe3Tc (PBE, relaxed); values from VASP
&SYSTEM
  ibrav = 0, nat = 5, ntyp = 3
/
ATOMIC_SPECIES
Na 22.99 Na.upf
Be 9.01 Be.upf
Tc 98.00 Tc.upf
CELL_PARAMETERS angstrom
4.006 0.000 0.000
0.000 4.006 0.000
0.000 0.000 4.006
ATOMIC_POSITIONS crystal
Na 0.000 0.000 0.000
Be 0.000 0.000 0.500
Be 0.000 0.500 0.000
Be 0.500 0.000 0.000
Tc 0.500 0.500 0.500
! DFT total energy, eV/atom: -2.83
! M_tot, μB per formula unit: 1.476
! Space group: Pm-3m (221)
! E_form, eV per atom: 1.743

---

# 18
! Na2BeTc2 (PBE, relaxed); values from VASP
&SYSTEM
  ibrav = 0, nat = 10, ntyp = 3
/
ATOMIC_SPECIES
Na 22.99 Na.upf
Be 9.01 Be.upf
Tc 98.00 Tc.upf
CELL_PARAMETERS angstrom
5.846 0.000 0.000
0.000 5.846 0.000
0.000 0.000 5.362
ATOMIC_POSITIONS crystal
Na 0.180 0.320 0.000
Na 0.320 0.820 0.000
Na 0.680 0.180 0.000
Na 0.820 0.680 0.000
Be 0.000 0.000 0.500
Be 0.500 0.500 0.500
Tc 0.139 0.639 0.500
Tc 0.361 0.139 0.500
Tc 0.639 0.861 0.500
Tc 0.861 0.361 0.500
! DFT total energy, eV/atom: -4.64
! M_tot, μB per formula unit: 1.514
! Space group: P4/mbm (127)
! E_form, eV per atom: 0.774

---

# 19
! Na2BeTcTe (PBE, relaxed); values from VASP
&SYSTEM
  ibrav = 0, nat = 5, ntyp = 4
/
ATOMIC_SPECIES
Na 22.99 Na.upf
Be 9.01 Be.upf
Tc 98.00 Tc.upf
Te 127.60 Te.upf
CELL_PARAMETERS angstrom
4.997 0.000 0.000
0.000 4.997 0.000
0.000 0.000 4.425
ATOMIC_POSITIONS crystal
Na 0.000 0.500 0.000
Na 0.500 0.000 0.000
Be 0.000 0.000 0.000
Tc 0.000 0.000 0.500
Te 0.500 0.500 0.500
! DFT total energy, eV/atom: -3.38
! Uncorrected formation energy, eV/atom: 0.589
! M_tot, μB per formula unit: 2.306
! Space group: P4/mmm (123)

---

# 20
! NaBeTl2Tc (PBE, relaxed); values from VASP
&SYSTEM
  ibrav = 0, nat = 5, ntyp = 4
/
ATOMIC_SPECIES
Na 22.99 Na.upf
Be 9.01 Be.upf
Tl 204.38 Tl.upf
Tc 98.00 Tc.upf
CELL_PARAMETERS angstrom
5.321 0.000 0.000
0.000 5.321 0.000
0.000 0.000 5.637
ATOMIC_POSITIONS crystal
Na 0.000 0.000 0.000
Be 0.500 0.500 0.000
Tl 0.000 0.500 0.500
Tl 0.500 0.000 0.500
Tc 0.000 0.000 0.500
! DFT total energy, eV/atom: -2.80
! M_tot, μB per formula unit: 1.474
! Space group: P4/mmm (123)
! E_form, eV per atom: 1.232